Below is crystalline Rb4V3AgF12 at its relaxed geometry, with properties calculated at the GGA+U level.

Calculated values
M_tot = 8.000 μB/cell
raw total energy = -103.36 eV per formula unit

Unit cell a=7.5219 b=7.5219 c=7.5219 alpha=109.47 beta=109.47 gamma=109.47
With the nearest neighbours (Å) after each atom.
Element x y z (fractional)
Rb (0.0000, 0.0000, 0.5000)  12 F 3.07-3.08
Rb (0.0000, 0.5000, 0.0000)  12 F 3.07-3.08
Rb (0.5000, 0.0000, 0.0000)  12 F 3.07-3.08
Rb (0.5000, 0.5000, 0.5000)  12 F 3.07-3.08
V (0.0000, 0.5000, 0.5000)  6 F 1.98-2.17
V (0.5000, 0.0000, 0.5000)  6 F 1.98-2.17
V (0.5000, 0.5000, 0.0000)  6 F 1.98-2.17
Ag (0.0000, 0.0000, 0.0000)  6 F 2.36
F (0.0000, 0.2722, 0.2722)  1 V 1.98
F (0.0000, 0.7278, 0.7278)  1 V 1.98
F (0.2500, 0.5000, 0.7500)  2 V 2.17
F (0.2500, 0.7500, 0.5000)  2 V 2.17
F (0.2722, 0.0000, 0.2722)  1 V 1.98
F (0.2722, 0.2722, 0.0000)  1 V 1.98
F (0.5000, 0.2500, 0.7500)  2 V 2.17
F (0.5000, 0.7500, 0.2500)  2 V 2.17
F (0.7278, 0.0000, 0.7278)  1 V 1.98
F (0.7278, 0.7278, 0.0000)  1 V 1.98
F (0.7500, 0.2500, 0.5000)  2 V 2.17
F (0.7500, 0.5000, 0.2500)  2 V 2.17